Computed, not measured: crystalline Cs3CoBr5 at its relaxed geometry at the PBE level of DFT.

Cell lengths 9.899, 9.899, 15.287 Å; angles 90.00, 90.00, 90.00 degrees
Space group I4/mcm (No. 140)
Inequivalent atoms, fractional coordinates:
1 Cs 0.000 0.000 0.250 x4
2 Cs 0.165 0.335 0.000 x8
3 Co 0.000 0.500 0.250 x4
4 Br 0.000 0.000 0.000 x4
5 Br 0.138 0.362 0.343 x16

Properties
- Electronic total energy: -0.2453 Ry per atom
- ρ: 3.80 g/cm³

---

Computed, not measured: crystalline MgIr2Rh at its relaxed geometry at the PBE level of DFT.

Cell lengths 5.339, 9.300, 2.741 Å; angles 90.00, 118.03, 90.00 degrees
Space group C2/m (No. 12)
Inequivalent atoms, fractional coordinates:
1 Mg 0.000 0.000 0.000 x2
2 Ir 0.250 0.250 0.500 x4
3 Rh 0.000 0.500 0.000 x2

Properties
- Electronic total energy: -0.4927 Ry per atom
- ΔE_f: -0.04 eV per atom
- ρ: 14.14 g/cm³

---

Q: What is the ρ in the first record?
A: 3.80 g/cm³

---

Q: Which formula does entry 2 have?
A: MgIr2Rh

---

Q: Which value of ρ does entry 2 give?
A: 14.14 g/cm³

---

Q: electronic total energy of number 1 (Cs3CoBr5)?
A: -0.2453 Ry per atom